4
Lattice="5.177 0.000 0.000 2.589 4.483 0.000 2.589 1.494 4.228" Properties=species:S:1:pos:R:3 comment="SmSc2Sn PBE-GGA relaxed" total_energy_ev_per_atom=-5.5950 polymorph_energy_mev_per_atom=214.6 n_ef_per_ev_fu=5.2 volume_a3_per_fu=98.13 formation_enthalpy_0k_mev_per_atom=-249 rho_g_cm3=6.07 pbc="T T T"
Sn 5.177 2.989 2.114
Sm 0.000 0.000 0.000
Sc 2.589 1.494 1.058
Sc 7.766 4.483 3.170